No. 1
Below is a relaxed Cu2BiSbMo crystal, with properties calculated at the PBE level.

The structure in CIF format:
```
data_Cu2BiSbMo
_chemical_formula_sum 'Cu2 Bi1 Sb1 Mo1'
_space_group_name_H-M_alt 'P 1'
_space_group_IT_number 1
_cell_length_a 4.830
_cell_length_b 4.830
_cell_length_c 5.269
_cell_angle_alpha 90.00
_cell_angle_beta 90.00
_cell_angle_gamma 90.00
loop_
_space_group_symop_operation_xyz
'x,y,z'
loop_
_atom_site_label
_atom_site_type_symbol
_atom_site_fract_x
_atom_site_fract_y
_atom_site_fract_z
Cu1 Cu 0.000 0.500 0.000
Cu2 Cu 0.500 0.000 0.000
Bi1 Bi 0.000 0.000 0.500
Sb1 Sb 0.500 0.500 0.500
Mo1 Mo 0.000 0.000 0.000
```

Properties
VASP energy in eV for the cell shown: -21.457
Crystal system: tetragonal
V in Å³ per cell: 122.9
Raw formation energy in eV per atom: 1.1140
M_tot in μB per formula unit: 0.0

---

No. 2
Below is a relaxed LaYSn2N crystal, with properties calculated at the PBE level.

The structure in CIF format:
```
data_LaYSn2N
_chemical_formula_sum 'La1 Y1 Sn2 N1'
_space_group_name_H-M_alt 'P 1'
_space_group_IT_number 1
_cell_length_a 6.208
_cell_length_b 6.208
_cell_length_c 4.063
_cell_angle_alpha 90.00
_cell_angle_beta 90.00
_cell_angle_gamma 90.00
loop_
_space_group_symop_operation_xyz
'x,y,z'
loop_
_atom_site_label
_atom_site_type_symbol
_atom_site_fract_x
_atom_site_fract_y
_atom_site_fract_z
La1 La 0.000 0.000 0.000
Y1 Y 0.500 0.500 0.500
Sn1 Sn 0.000 0.500 0.000
Sn2 Sn 0.500 0.000 0.000
N1 N 0.000 0.000 0.500
```

Properties
VASP energy in eV for the cell shown: -26.304
Crystal system: tetragonal
V in Å³ per cell: 156.6
Raw formation energy in eV per atom: 0.2837
M_tot in μB per formula unit: 0.0

---

No. 3
Below is a relaxed Sm4PCI2 crystal, with properties calculated at the PBE level.

The structure in CIF format:
```
data_Sm4PCI2
_chemical_formula_sum 'Sm4 P1 C1 I2'
_space_group_name_H-M_alt 'P 1'
_space_group_IT_number 1
_cell_length_a 7.024
_cell_length_b 3.994
_cell_length_c 7.965
_cell_angle_alpha 90.00
_cell_angle_beta 106.88
_cell_angle_gamma 90.00
loop_
_space_group_symop_operation_xyz
'x,y,z'
loop_
_atom_site_label
_atom_site_type_symbol
_atom_site_fract_x
_atom_site_fract_y
_atom_site_fract_z
Sm1 Sm 0.203 0.000 0.176
Sm2 Sm 0.246 0.500 0.820
Sm3 Sm 0.754 0.500 0.180
Sm4 Sm 0.797 0.000 0.824
P1 P 0.500 0.000 0.000
C1 C 0.000 0.500 0.000
I1 I 0.000 0.000 0.500
I2 I 0.500 0.500 0.500
```

Properties
VASP energy in eV for the cell shown: -44.883
Crystal system: monoclinic
V in Å³ per cell: 213.8
Raw formation energy in eV per atom: -1.0341
M_tot in μB per formula unit: 0.0